Entry from Alexandria via LeMat-Bulk: crystalline TcHg2P at its relaxed geometry (PBE).

a = 5.5127 Å, b = 5.5127 Å, c = 3.6939 Å
α = 90.00°, β = 90.00°, γ = 135.00°
Last column: nearest neighbours and their distance in Å.
Positions (direct):
Tc  0.3134  0.6866  0.5000  2 P 2.24
Hg  0.9035  0.0965  0.0000  3 P 2.90-3.04, 4 Tc 2.95
Hg  0.5912  0.4088  0.5000  3 Tc 2.83-3.09, 4 P 2.97
P  0.1885  0.8115  0.0000  2 Tc 2.24

DFT formation energy = 0.28 eV/atom
Symmetry = Amm2
DOS at the Fermi energy = 0.552 states/eV/atom